(1)
The following is a SCAN calculation of a crystal of Hf2Ni2Ag relaxed with PBEsol, from the Alexandria database.

Geometry as extended XYZ:
```
10
Lattice="6.985 0.000 0.000 0.000 6.985 0.000 0.000 0.000 3.204" Properties=species:S:1:pos:R:3 pbc="T T T"
Hf 1.187 2.306 0.000
Hf 2.306 5.798 0.000
Hf 4.679 1.187 0.000
Hf 5.798 4.679 0.000
Ni 0.878 4.371 1.602
Ni 2.614 0.878 1.602
Ni 4.371 6.106 1.602
Ni 6.106 2.614 1.602
Ag 0.000 0.000 1.602
Ag 3.492 3.492 1.602
```

Output
Fermi-level density of states in states/eV per cell: 6.09
M_tot in μB per formula unit: 0.00
Crystal system: tetragonal
Formation energy from the elements in kJ/mol of formula units: -210


(2)
The following is a SCAN calculation of a crystal of HfNiAg2Sn relaxed with PBEsol, from the Alexandria database.

Geometry as extended XYZ:
```
5
Lattice="4.642 0.000 0.000 0.000 4.642 0.000 0.000 0.000 4.602" Properties=species:S:1:pos:R:3 pbc="T T T"
Hf 0.000 0.000 0.000
Ni 2.321 2.321 2.301
Ag 0.000 2.321 2.301
Ag 2.321 0.000 2.301
Sn 2.321 2.321 0.000
```

Output
Fermi-level density of states in states/eV per cell: 2.60
M_tot in μB per formula unit: 0.00
Crystal system: tetragonal
Formation energy from the elements in kJ/mol of formula units: 265


(3)
The following is a SCAN calculation of a crystal of Hf2TaNiAg relaxed with PBEsol, from the Alexandria database.

Geometry as extended XYZ:
```
5
Lattice="4.621 0.000 0.000 0.000 4.621 0.000 0.000 0.000 4.582" Properties=species:S:1:pos:R:3 pbc="T T T"
Hf 0.000 2.310 0.000
Hf 2.310 0.000 0.000
Ta 0.000 0.000 2.291
Ni 2.310 2.310 0.000
Ag 2.310 2.310 2.291
```

Output
Fermi-level density of states in states/eV per cell: 7.33
M_tot in μB per formula unit: 0.01
Crystal system: tetragonal
Formation energy from the elements in kJ/mol of formula units: 345


(4)
The following is a SCAN calculation of a crystal of Hf3AgP relaxed with PBEsol, from the Alexandria database.

Geometry as extended XYZ:
```
5
Lattice="4.738 0.000 0.000 0.000 4.738 0.000 0.000 0.000 4.738" Properties=species:S:1:pos:R:3 pbc="T T T"
Hf 0.000 0.000 2.369
Hf 0.000 2.369 0.000
Hf 2.369 0.000 0.000
Ag 2.369 2.369 2.369
P 0.000 0.000 0.000
```

Output
Fermi-level density of states in states/eV per cell: 1.75
M_tot in μB per formula unit: 0.00
Crystal system: cubic
Formation energy from the elements in kJ/mol of formula units: -65


(5)
The following is a SCAN calculation of a crystal of HfAgP2 relaxed with PBEsol, from the Alexandria database.

Geometry as extended XYZ:
```
8
Lattice="-3.419 3.419 2.974 3.419 -3.419 2.974 3.419 3.419 -2.974" Properties=species:S:1:pos:R:3 pbc="T T T"
Hf 0.000 0.000 0.000
Hf 0.000 3.419 1.487
Ag 3.419 0.000 1.487
Ag 0.000 0.000 2.974
P 1.710 -1.628 2.230
P 1.791 1.710 0.743
P 1.710 5.047 -0.743
P 1.628 1.710 3.717
```

Output
Fermi-level density of states in states/eV per cell: 2.18
M_tot in μB per formula unit: 0.00
Crystal system: tetragonal
Formation energy from the elements in kJ/mol of formula units: -54


(6)
The following is a SCAN calculation of a crystal of Hf2AgP relaxed with PBEsol, from the Alexandria database.

Geometry as extended XYZ:
```
8
Lattice="-3.594 3.594 2.917 3.594 -3.594 2.917 3.594 3.594 -2.917" Properties=species:S:1:pos:R:3 pbc="T T T"
Hf 5.390 1.615 -0.729
Hf 1.615 1.797 0.729
Hf -1.797 1.979 2.187
Hf 1.979 1.797 3.646
Ag 3.594 0.000 1.458
Ag 0.000 0.000 2.917
P 0.000 0.000 0.000
P 0.000 3.594 1.458
```

Output
Fermi-level density of states in states/eV per cell: 6.39
M_tot in μB per formula unit: 0.00
Crystal system: tetragonal
Formation energy from the elements in kJ/mol of formula units: -95


(7)
The following is a SCAN calculation of a crystal of HfAg2SbP relaxed with PBEsol, from the Alexandria database.

Geometry as extended XYZ:
```
5
Lattice="4.611 0.000 0.000 0.000 4.611 0.000 0.000 0.000 5.007" Properties=species:S:1:pos:R:3 pbc="T T T"
Hf 0.000 0.000 0.000
Ag 0.000 2.305 2.503
Ag 2.305 0.000 2.503
Sb 2.305 2.305 0.000
P 0.000 0.000 2.503
```

Output
Fermi-level density of states in states/eV per cell: 2.70
M_tot in μB per formula unit: 0.00
Crystal system: tetragonal
Energy relative to the elements, uncorrected in eV per atom: 0.0819


(8)
The following is a SCAN calculation of a crystal of HfAg3Pb relaxed with PBEsol, from the Alexandria database.

Geometry as extended XYZ:
```
5
Lattice="5.130 0.000 0.000 0.000 5.130 0.000 0.000 0.000 5.130" Properties=species:S:1:pos:R:3 pbc="T T T"
Hf 0.000 0.000 0.000
Ag 0.000 0.000 2.565
Ag 0.000 2.565 0.000
Ag 2.565 0.000 0.000
Pb 2.565 2.565 2.565
```

Output
Fermi-level density of states in states/eV per cell: 5.02
M_tot in μB per formula unit: 0.00
Crystal system: cubic
Formation energy from the elements in kJ/mol of formula units: 525